Record 1
# Cs2CaMnBr6 | Alexandria | GGA-PBE | optimized geometry
# Electronic total energy in eV per formula unit: -38.90
# Relative energy among the computed polymorphs in meV/atom: 0
# Fermi-level density of states in states/eV per cell: 0.00
# Crystal system: trigonal
# E_form (uncorrected) in kcal/mol of atoms: -36.87
data_Cs2CaMnBr6
_symmetry_space_group_name_H-M 'P 1'
_symmetry_Int_Tables_number 1
_symmetry_space_group_name_Hall 'P 1'
_cell_length_a 6.940
_cell_length_b 7.902
_cell_length_c 7.902
_cell_angle_alpha 120.00
_cell_angle_beta 90.00
_cell_angle_gamma 90.00
loop_
_atom_site_label
_atom_site_fract_x
_atom_site_fract_y
_atom_site_fract_z
_atom_site_occupancy
Br1 0.231 0.839 0.161 1
Br2 0.769 0.161 0.839 1
Br3 0.769 0.161 0.321 1
Br4 0.231 0.321 0.161 1
Br5 0.769 0.679 0.839 1
Br6 0.231 0.839 0.679 1
Ca1 0.500 0.000 0.000 1
Mn1 0.000 0.000 0.000 1
Cs1 0.216 0.333 0.667 1
Cs2 0.784 0.667 0.333 1

---

Record 2
# Cs2CaBr6N | Alexandria | GGA-PBE | optimized geometry
# Electronic total energy in eV per formula unit: -30.54
# Fermi-level density of states in states/eV per cell: 0.00
# Crystal system: tetragonal
# E_form (uncorrected) in kcal/mol of atoms: -19.53
data_Cs2CaBr6N
_symmetry_space_group_name_H-M 'P 1'
_symmetry_Int_Tables_number 1
_symmetry_space_group_name_Hall 'P 1'
_cell_length_a 7.478
_cell_length_b 7.478
_cell_length_c 8.328
_cell_angle_alpha 63.32
_cell_angle_beta 63.32
_cell_angle_gamma 90.00
loop_
_atom_site_label
_atom_site_fract_x
_atom_site_fract_y
_atom_site_fract_z
_atom_site_occupancy
Ca1 0.000 0.000 0.000 1
Br1 0.281 0.281 0.000 1
Br2 0.783 0.783 0.435 1
Br3 0.217 0.217 0.565 1
Br4 0.281 0.719 0.000 1
Br5 0.719 0.719 0.000 1
Br6 0.719 0.281 0.000 1
Cs1 0.250 0.750 0.500 1
Cs2 0.750 0.250 0.500 1
N1 0.500 0.500 0.000 1

---

Record 3
# CsNaCa2Br | Alexandria | GGA-PBE | optimized geometry
# Electronic total energy in eV per formula unit: -9.39
# Fermi-level density of states in states/eV per cell: 5.77
# Crystal system: tetragonal
# E_form (uncorrected) in kcal/mol of atoms: -7.11
data_CsNaCa2Br
_symmetry_space_group_name_H-M 'P 1'
_symmetry_Int_Tables_number 1
_symmetry_space_group_name_Hall 'P 1'
_cell_length_a 5.955
_cell_length_b 7.154
_cell_length_c 5.955
_cell_angle_alpha 90.00
_cell_angle_beta 90.00
_cell_angle_gamma 90.00
loop_
_atom_site_label
_atom_site_fract_x
_atom_site_fract_y
_atom_site_fract_z
_atom_site_occupancy
Ca1 0.000 0.000 0.500 1
Ca2 0.500 0.000 0.000 1
Cs1 0.000 0.500 0.000 1
Na1 0.500 0.500 0.500 1
Br1 0.000 0.000 0.000 1

---

Question: What is the formula in the first record?
Answer: Cs2CaMnBr6

---

Question: Look up the E_form (uncorrected) of the third one.
Answer: -7.11 kcal/mol of atoms

---

What did the first record say?
# Cs2CaMnBr6 | Alexandria | GGA-PBE | optimized geometry
# Electronic total energy in eV per formula unit: -38.90
# Relative energy among the computed polymorphs in meV/atom: 0
# Fermi-level density of states in states/eV per cell: 0.00
# Crystal system: trigonal
# E_form (uncorrected) in kcal/mol of atoms: -36.87
data_Cs2CaMnBr6
_symmetry_space_group_name_H-M 'P 1'
_symmetry_Int_Tables_number 1
_symmetry_space_group_name_Hall 'P 1'
_cell_length_a 6.940
_cell_length_b 7.902
_cell_length_c 7.902
_cell_angle_alpha 120.00
_cell_angle_beta 90.00
_cell_angle_gamma 90.00
loop_
_atom_site_label
_atom_site_fract_x
_atom_site_fract_y
_atom_site_fract_z
_atom_site_occupancy
Br1 0.231 0.839 0.161 1
Br2 0.769 0.161 0.839 1
Br3 0.769 0.161 0.321 1
Br4 0.231 0.321 0.161 1
Br5 0.769 0.679 0.839 1
Br6 0.231 0.839 0.679 1
Ca1 0.500 0.000 0.000 1
Mn1 0.000 0.000 0.000 1
Cs1 0.216 0.333 0.667 1
Cs2 0.784 0.667 0.333 1